First-principles (PBE) data for a relaxed structure of TiIrPb3, as listed in Alexandria.

It has space group Pm-3m (No. 221), with a = 5.301 Å, b = 5.301 Å, c = 5.301 Å, α = 90.00°, β = 90.00° and γ = 90.00°. The distinct sites, in fractional coordinates, are Ti at (0.000, 0.000, 0.000), Ir at (0.500, 0.500, 0.500) and Pb at (0.000, 0.000, 0.500).

As for the formation energy: 1.153 eV per atom. The magnetization is 1.8 μB/f.u. As for the uncorrected energy: -4.423 eV per atom. Its relative energy among the computed polymorphs is 300 meV/atom.